Pr12NdTm6 after structural relaxation, computed with GGA-PBE.

Values from the calculation:
The value obtained for the excess energy over the best structure of this formula in the dataset is 108.7 meV per atom. The density of states at the Fermi level comes out at 27.1 states/eV per cell. For the calculated formation energy, the calculation gives 0.234 eV/atom.

Cell: 9.308 9.308 9.308 Å, 106.66 106.66 106.66°
Fractional coordinates of all 19 atoms:
Pr 0.138 0.830 0.280
Pr 0.170 0.720 0.862
Pr 0.195 0.576 0.479
Pr 0.280 0.138 0.830
Pr 0.424 0.521 0.805
Pr 0.479 0.195 0.576
Pr 0.521 0.805 0.424
Pr 0.576 0.479 0.195
Pr 0.720 0.862 0.170
Pr 0.805 0.424 0.521
Pr 0.830 0.280 0.138
Pr 0.862 0.170 0.720
Nd 0.000 0.000 0.000
Tm 0.072 0.188 0.461
Tm 0.188 0.461 0.072
Tm 0.461 0.072 0.188
Tm 0.539 0.928 0.812
Tm 0.812 0.539 0.928
Tm 0.928 0.812 0.539

---

Pr4NdTm6 after structural relaxation, computed with GGA-PBE.

Values from the calculation:
The value obtained for the excess energy over the best structure of this formula in the dataset is 0.0 meV per atom. The density of states at the Fermi level comes out at 15.3 states/eV per cell. For the calculated formation energy, the calculation gives 0.153 eV/atom.

Cell: 11.014 11.014 3.534 Å, 90.00 90.00 120.00°
Fractional coordinates of all 11 atoms:
Pr 0.000 0.000 0.000
Pr 0.532 0.064 0.500
Pr 0.532 0.468 0.500
Pr 0.936 0.468 0.500
Nd 0.333 0.667 0.000
Tm 0.163 0.325 0.500
Tm 0.163 0.837 0.500
Tm 0.324 0.162 0.000
Tm 0.675 0.837 0.500
Tm 0.838 0.162 0.000
Tm 0.838 0.676 0.000

---

Pr5Nd2Tm3 after structural relaxation, computed with GGA-PBE.

Values from the calculation:
The value obtained for the excess energy over the best structure of this formula in the dataset is 0.0 meV per atom. The density of states at the Fermi level comes out at 34.9 states/eV per cell. For the calculated formation energy, the calculation gives 0.177 eV/atom.

Cell: 9.346 9.346 10.005 Å, 108.62 108.62 108.23°
Fractional coordinates of all 20 atoms:
Pr 0.026 0.974 0.750
Pr 0.121 0.361 0.738
Pr 0.232 0.768 0.750
Pr 0.271 0.729 0.250
Pr 0.361 0.121 0.238
Pr 0.639 0.879 0.762
Pr 0.729 0.271 0.750
Pr 0.768 0.232 0.250
Pr 0.879 0.639 0.262
Pr 0.974 0.026 0.250
Nd 0.229 0.470 0.444
Nd 0.470 0.229 0.944
Nd 0.530 0.771 0.056
Nd 0.771 0.530 0.556
Tm 0.035 0.280 0.054
Tm 0.280 0.035 0.554
Tm 0.478 0.522 0.250
Tm 0.522 0.478 0.750
Tm 0.720 0.965 0.446
Tm 0.965 0.720 0.946

---

Pr2Nd4Tm3 after structural relaxation, computed with GGA-PBE.

Values from the calculation:
The value obtained for the excess energy over the best structure of this formula in the dataset is 33.2 meV per atom. The density of states at the Fermi level comes out at 15.6 states/eV per cell. For the calculated formation energy, the calculation gives 0.052 eV/atom.

Cell: 3.632 3.632 27.018 Å, 90.00 90.00 120.00°
Fractional coordinates of all 9 atoms:
Pr 0.000 0.000 0.000
Pr 0.000 0.000 0.212
Nd 0.000 0.000 0.347
Nd 0.000 0.000 0.557
Nd 0.333 0.667 0.672
Nd 0.333 0.667 0.884
Tm 0.000 0.000 0.778
Tm 0.333 0.667 0.107
Tm 0.333 0.667 0.451